A plane-wave DFT calculation with PBE with a Hubbard U was carried out for a relaxed CoPb2SF crystal.

Calculated values
For the uncorrected energy, the calculation gives -18.1 eV per cell. As for the calculated volume: 119.7 Å³ per cell. Its space group is No. 123. For the density of states at the Fermi level, the calculation gives 0.31 states/eV per atom.

a b c (Å): 4.8112 5.1709 4.8112
angles (deg): 90.00 90.00 90.00
Last column: nearest neighbours and their distance in Å.
Sites, in units of the cell vectors:
F 0.0000 0.0000 0.0000  4 Pb 2.41, 2 S 2.59
Pb 0.0000 0.0000 0.5000  2 F 2.41
Pb 0.5000 0.0000 0.0000  2 F 2.41
S 0.0000 0.5000 0.0000  2 F 2.59
Co 0.5000 0.5000 0.5000  4 S 3.40, 8 Pb 3.53